# Sm2NiCl

A relaxed structure of Sm2NiCl (PBE-GGA, Alexandria).

abc: 3.9887 3.9887 7.7254
angles: 75.07 75.07 60.03
With the nearest neighbours (Å) after each atom.
Positions (direct):
Cl 0.5000 0.5000 0.5000  6 Sm 3.18-3.19
Sm 0.2661 0.2661 0.2019  3 Ni 2.74
Sm 0.7339 0.7339 0.7981  3 Ni 2.74
Ni 0.0000 0.0000 0.0000  6 Sm 2.74

## Properties
**Size of the total moment**: 0.00 μB/f.u.
**V**: 101.7 Å³/cell
**N(E_F)**: 3.1 states/eV per cell
**Polymorph energy (0 for the lowest one)**: 0 meV per atom
**SG**: R-3m

# Tb2CuN

A relaxed structure of Tb2CuN (PBE-GGA, Alexandria).

abc: 3.4077 3.4077 8.5555
angles: 78.51 78.51 60.00
With the nearest neighbours (Å) after each atom.
Positions (direct):
Cu 0.0000 0.0000 0.0000  2 Tb 2.81
N 0.5000 0.5000 0.5000  6 Tb 2.39
Tb 0.8873 0.8873 0.3381  3 N 2.39
Tb 0.1127 0.1127 0.6619  3 N 2.39

## Properties
**Size of the total moment**: 0.00 μB/f.u.
**V**: 83.7 Å³/cell
**N(E_F)**: 2.8 states/eV per cell
**Energy**: -23.30 eV/cell
**SG**: R-3m

# La2TbPr2Ag5

A relaxed structure of La2TbPr2Ag5 (PBE-GGA, Alexandria).

abc: 4.3357 11.1757 11.1757
angles: 90.00 90.00 90.00
With the nearest neighbours (Å) after each atom.
Positions (direct):
Ag 0.5000 0.6811 0.4360  2 Ag 3.04, 2 Tb 3.05, 2 Pr 3.11
Ag 0.5000 0.3189 0.5640  2 Ag 3.04, 2 Tb 3.05, 2 Pr 3.11
Ag 0.5000 0.1811 0.0640  2 Ag 3.04, 2 Tb 3.05, 2 Pr 3.11
Ag 0.5000 0.0000 0.5000  4 Pr 3.00
Ag 0.5000 0.5000 0.0000  4 Pr 3.00
Ag 0.5000 0.4360 0.3189  2 Ag 3.04, 2 Tb 3.05, 2 Pr 3.11
Ag 0.5000 0.9360 0.1811  2 Ag 3.04, 2 Tb 3.05, 2 Pr 3.11
Ag 0.5000 0.0640 0.8189  2 Ag 3.04, 2 Tb 3.05, 2 Pr 3.11
Ag 0.5000 0.8189 0.9360  2 Ag 3.04, 2 Tb 3.05, 2 Pr 3.11
Ag 0.5000 0.5640 0.6811  2 Ag 3.04, 2 Tb 3.05, 2 Pr 3.11
Pr 0.0000 0.8692 0.3692  6 Ag 3.00-3.11, 1 La 3.12
Pr 0.0000 0.3692 0.1308  6 Ag 3.00-3.11, 1 La 3.12
Pr 0.0000 0.1308 0.6308  6 Ag 3.00-3.11, 1 La 3.12
Pr 0.0000 0.6308 0.8692  6 Ag 3.00-3.11, 1 La 3.12
Tb 0.0000 0.5000 0.5000  8 Ag 3.05
Tb 0.0000 0.0000 0.0000  8 Ag 3.05
La 0.0000 0.6720 0.1720  3 Pr 3.12-3.42, 2 Ag 3.48
La 0.0000 0.8280 0.6720  3 Pr 3.12-3.42, 2 Ag 3.48
La 0.0000 0.3280 0.8280  3 Pr 3.12-3.42, 2 Ag 3.48
La 0.0000 0.1720 0.3280  3 Pr 3.12-3.42, 2 Ag 3.48

## Properties
**Calculated formation energy**: -117 meV per atom
**Size of the total moment**: 0.00 μB/f.u.
**V**: 541.5 Å³/cell
**N(E_F)**: 15.2 states/eV per cell
**SG**: P4/mbm

# HfCoNiP

A relaxed structure of HfCoNiP (PBE-GGA, Alexandria).

abc: 3.8602 3.8602 12.8790
angles: 90.00 90.00 120.00
With the nearest neighbours (Å) after each atom.
Positions (direct):
Hf 0.3333 0.6667 0.5686  4 P 2.56-2.83, 3 Ni 2.65, 4 Co 2.70-2.77
Hf 0.6667 0.3333 0.2353  4 P 2.56-2.83, 3 Ni 2.65, 4 Co 2.70-2.77
Hf 0.0000 0.0000 0.9019  4 P 2.56-2.83, 3 Ni 2.65, 4 Co 2.70-2.77
Ni 0.0000 0.0000 0.3471  3 P 2.25
Ni 0.3333 0.6667 0.0138  3 P 2.25
Ni 0.6667 0.3333 0.6804  3 P 2.25
Co 0.6667 0.3333 0.4500  3 P 2.45, 3 Ni 2.59, 3 Hf 2.70
Co 0.0000 0.0000 0.1166  3 P 2.45, 3 Ni 2.59, 3 Hf 2.70
Co 0.3333 0.6667 0.7833  3 P 2.45, 3 Ni 2.59, 3 Hf 2.70
P 0.3333 0.6667 0.3702  3 Ni 2.25, 3 Co 2.45
P 0.6667 0.3333 0.0369  3 Ni 2.25, 3 Co 2.45
P 0.0000 0.0000 0.7035  3 Ni 2.25, 3 Co 2.45

## Properties
**Calculated formation energy**: -567 meV per atom
**Size of the total moment**: 0.00 μB/f.u.
**V**: 166.2 Å³/cell
**N(E_F)**: 9.2 states/eV per cell
**Polymorph energy (0 for the lowest one)**: 103 meV per atom
**SG**: R3m

# Er2C

A relaxed structure of Er2C (PBE-GGA, Alexandria).

abc: 3.5389 3.5397 6.1522
angles: 90.70 90.00 119.99
With the nearest neighbours (Å) after each atom.
Positions (direct):
Er 0.3362 0.6723 0.7173  3 C 2.44
Er 0.6638 0.3277 0.2827  3 C 2.44
C 0.0000 0.0000 0.5000  6 Er 2.44

## Properties
**Calculated formation energy**: -299 meV per atom
**Size of the total moment**: 0.02 μB/f.u.
**V**: 66.7 Å³/cell
**N(E_F)**: 2.1 states/eV per cell
**SG**: C2/m

# SrHf2Pt

A relaxed structure of SrHf2Pt (PBE-GGA, Alexandria).

abc: 5.4372 5.4372 9.8614
angles: 74.00 74.00 90.00
With the nearest neighbours (Å) after each atom.
Positions (direct):
Hf 0.8591 0.1250 0.2500  2 Pt 2.65, 2 Hf 2.72
Hf 0.8909 0.6250 0.2500  2 Pt 2.65, 2 Hf 2.72
Hf 0.3750 0.1409 0.7500  2 Pt 2.65, 2 Hf 2.72
Hf 0.8750 0.1091 0.7500  2 Pt 2.65, 2 Hf 2.72
Sr 0.2500 0.7500 0.5000  8 Hf 3.73-3.86, 4 Pt 3.84
Sr 0.5000 0.5000 0.0000  8 Hf 3.73-3.86, 4 Pt 3.84
Pt 0.7500 0.2500 0.5000  4 Hf 2.65
Pt 0.0000 0.0000 0.0000  4 Hf 2.65

## Properties
**Calculated formation energy**: 399 meV per atom
**Size of the total moment**: 0.00 μB/f.u.
**V**: 268.5 Å³/cell
**N(E_F)**: 10.6 states/eV per cell
**Polymorph energy (0 for the lowest one)**: 225 meV per atom
**SG**: I-42d

# Ac2Tb4Y3

A relaxed structure of Ac2Tb4Y3 (PBE-GGA, Alexandria).

abc: 3.7000 3.7000 26.8901
angles: 90.00 90.00 120.00
With the nearest neighbours (Å) after each atom.
Positions (direct):
Tb 0.0000 0.0000 0.7505  3 Y 3.52, 6 Tb 3.70, 3 Ac 3.76
Tb 0.6667 0.3333 0.2291  3 Y 3.49, 1 Ac 3.64, 6 Tb 3.70
Tb 0.0000 0.0000 0.5414  9 Tb 3.53-3.70, 3 Y 3.54
Tb 0.6667 0.3333 0.4370  9 Tb 3.53-3.70, 3 Y 3.55
Y 0.0000 0.0000 0.3318  6 Tb 3.49-3.55, 6 Y 3.70
Y 0.6667 0.3333 0.6464  6 Tb 3.52-3.54, 6 Y 3.70
Y 0.0000 0.0000 0.9817  6 Ac 3.69-3.79, 6 Y 3.70
Ac 0.6667 0.3333 0.8654  6 Ac 3.70, 3 Tb 3.76, 3 Y 3.79
Ac 0.6667 0.3333 0.0938  1 Tb 3.64, 3 Y 3.69, 6 Ac 3.70

## Properties
**Calculated formation energy**: 77 meV per atom
**Size of the total moment**: 0.05 μB/f.u.
**V**: 318.8 Å³/cell
**N(E_F)**: 15.8 states/eV per cell
**Polymorph energy (0 for the lowest one)**: 25 meV per atom
**SG**: P3m1

# Sr3CdGe

A relaxed structure of Sr3CdGe (PBE-GGA, Alexandria).

abc: 4.7768 7.9989 9.9997
angles: 85.96 90.20 107.52
With the nearest neighbours (Å) after each atom.
Positions (direct):
Ge 0.6119 0.2581 0.1463  1 Ge 2.96, 3 Sr 3.27-3.28
Ge 0.4328 0.8969 0.2751  1 Ge 2.96, 3 Sr 3.26-3.28
Sr 0.0729 0.1758 0.3651  4 Ge 3.27-3.37, 1 Cd 3.46, 1 Sr 3.53
Sr 0.9712 0.9783 0.0565  4 Ge 3.26-3.37, 1 Cd 3.46, 1 Sr 3.53
Sr 0.2529 0.5393 0.0469  3 Ge 3.31-3.68, 2 Cd 3.57-3.61
Sr 0.6134 0.2720 0.8175  3 Cd 3.25-3.33, 1 Ge 3.28
Sr 0.4302 0.8816 0.6041  3 Cd 3.25-3.33, 1 Ge 3.28
Sr 0.7911 0.6148 0.3745  3 Ge 3.32-3.68, 2 Cd 3.57-3.62
Cd 0.2048 0.4543 0.6227  6 Sr 3.25-3.62, 2 Cd 3.55-3.60
Cd 0.8386 0.6993 0.7991  6 Sr 3.25-3.61, 2 Cd 3.55-3.60

## Properties
**Calculated formation energy**: -324 meV per atom
**Size of the total moment**: 0.00 μB/f.u.
**V**: 363.4 Å³/cell
**N(E_F)**: 7.2 states/eV per cell
**Polymorph energy (0 for the lowest one)**: 0 meV per atom
**SG**: P1

# AcPrB

A relaxed structure of AcPrB (PBE-GGA, Alexandria).

abc: 3.3835 6.7591 7.4109
angles: 86.52 89.41 90.06
With the nearest neighbours (Å) after each atom.
Positions (direct):
Ac 0.7567 0.6931 0.6717  3 B 2.85-3.06
Ac 0.2433 0.3069 0.3283  3 B 2.85-3.06
B 0.7499 0.4654 0.0075  2 B 1.76
B 0.2501 0.5346 0.9925  2 B 1.76
Pr 0.7461 0.8144 0.1665  3 B 2.70-2.90
Pr 0.2539 0.1856 0.8335  3 B 2.70-2.90

## Properties
**Calculated formation energy**: 5 meV per atom
**Size of the total moment**: 0.00 μB/f.u.
**V**: 169.2 Å³/cell
**N(E_F)**: 6.6 states/eV per cell
**SG**: P-1

# Ta2Mn5Be2Ga

A relaxed structure of Ta2Mn5Be2Ga (PBE-GGA, Alexandria).

abc: 3.2193 8.7344 8.7344
angles: 90.00 90.00 90.00
With the nearest neighbours (Å) after each atom.
Positions (direct):
Ga 0.0000 0.5000 0.5000  8 Mn 2.54
Ga 0.0000 0.0000 0.0000  8 Mn 2.54
Mn 0.5000 0.5000 0.0000  4 Be 2.18
Mn 0.5000 0.0000 0.5000  4 Be 2.18
Mn 0.5000 0.7855 0.9336  2 Be 2.22
Mn 0.5000 0.0664 0.7855  2 Be 2.22
Mn 0.5000 0.2145 0.0664  2 Be 2.22
Mn 0.5000 0.2855 0.5664  2 Be 2.22
Mn 0.5000 0.4336 0.2855  2 Be 2.22
Mn 0.5000 0.7145 0.4336  2 Be 2.22
Mn 0.5000 0.5664 0.7145  2 Be 2.22
Mn 0.5000 0.9336 0.2145  2 Be 2.22
Ta 0.0000 0.8253 0.6747  3 Be 2.54-2.61, 10 Mn 2.69-2.82
Ta 0.0000 0.6747 0.1747  3 Be 2.54-2.61, 10 Mn 2.69-2.82
Ta 0.0000 0.3253 0.8253  3 Be 2.54-2.61, 10 Mn 2.69-2.82
Ta 0.0000 0.1747 0.3253  3 Be 2.54-2.61, 10 Mn 2.69-2.82
Be 0.0000 0.1196 0.6196  6 Mn 2.18-2.22
Be 0.0000 0.8804 0.3804  6 Mn 2.18-2.22
Be 0.0000 0.6196 0.8804  6 Mn 2.18-2.22
Be 0.0000 0.3804 0.1196  6 Mn 2.18-2.22

## Properties
**Calculated formation energy**: -141 meV per atom
**Size of the total moment**: 7.46 μB/f.u.
**V**: 245.6 Å³/cell
**N(E_F)**: 14.8 states/eV per cell
**SG**: P4/mbm

Look up the size of the total moment of the second one. 0.00 μB/f.u.